A relaxed Ca4Tl15Cd crystal. Source: the Alexandria database, functional GGA-PBE.

Calculated values
- Space-group type: No. 123
- Total magnetic moment: 0.00 μB/f.u.
- ΔE_f: -0.1736 eV per atom

Cell and atoms, written as POSCAR:
```
Ca4Tl15Cd
1.0
4.865 0.000 0.000
0.000 4.865 0.000
0.000 0.000 24.388
Ca Tl Cd
4 15 1
Cartesian
0.000 0.000 2.409
0.000 0.000 7.250
0.000 0.000 17.138
0.000 0.000 21.979
0.000 2.432 0.000
0.000 2.432 4.844
0.000 2.432 9.777
0.000 2.432 14.612
0.000 2.432 19.544
2.432 0.000 0.000
2.432 0.000 4.844
2.432 0.000 9.777
2.432 0.000 14.612
2.432 0.000 19.544
2.432 2.432 2.416
2.432 2.432 7.260
2.432 2.432 12.194
2.432 2.432 17.128
2.432 2.432 21.972
0.000 0.000 12.194
```

---

A relaxed Ca3TlCd crystal. Source: the Alexandria database, functional GGA-PBE.

Calculated values
- Space-group type: No. 6
- Relative energy among the computed polymorphs: 0.114 eV per atom
- Total magnetic moment: 0.00 μB/f.u.
- ΔE_f: -0.2245 eV per atom

Cell and atoms, written as POSCAR:
```
Ca3TlCd
1.0
6.971 0.000 0.000
0.000 5.273 0.000
-0.909 0.000 8.805
Ca Tl Cd
6 2 2
Cartesian
0.000 0.000 0.000
-0.279 2.637 6.350
1.099 0.000 3.999
2.048 2.637 1.392
2.673 0.000 7.497
4.384 0.000 2.370
5.132 2.637 0.178
5.110 0.000 5.442
3.222 2.637 4.695
6.162 2.637 3.168
```

---

A relaxed Ca5Tl6Cd crystal. Source: the Alexandria database, functional GGA-PBE.

Calculated values
- Space-group type: No. 71
- Total magnetic moment: 0.00 μB/f.u.
- ΔE_f: -0.3612 eV per atom

Cell and atoms, written as POSCAR:
```
Ca5Tl6Cd
1.0
-2.714 3.901 8.161
2.714 -3.901 8.161
2.714 3.901 -8.161
Ca Tl Cd
5 6 1
Cartesian
0.000 0.000 0.000
2.714 0.000 2.721
0.000 0.000 5.456
0.000 0.000 10.865
0.000 3.901 5.439
2.714 -1.900 5.488
2.714 2.039 0.000
0.000 2.001 2.672
2.714 1.900 5.488
0.000 1.862 8.161
0.000 5.800 2.672
0.000 3.901 0.000
```

---

ΔE_f of number 2 (Ca3TlCd)?
-0.2245 eV per atom

---

Among the records above, which one has the highest ΔE_f?
Ca4Tl15Cd